Here is a relaxed Pr4TlGeO crystal from Alexandria. Energies are from PBE-GGA.

```
Pr4TlGeO
1.0
3.348 -8.656 0.000
3.348 8.656 0.000
0.000 0.000 6.735
Pr Tl Ge O
8 2 2 2
Direct
0.000 0.500 0.000
0.000 0.500 0.500
0.061 0.939 0.750
0.422 0.578 0.750
0.500 0.000 0.000
0.500 0.000 0.500
0.578 0.422 0.250
0.939 0.061 0.250
0.391 0.609 0.250
0.609 0.391 0.750
0.117 0.883 0.250
0.883 0.117 0.750
0.281 0.719 0.750
0.719 0.281 0.250
```

Calculated values
The total energy comes out at -5.5397 eV/atom. As for the space group: Cmcm (63).